The following is a PBE-GGA calculation of an optimized crystal structure of PaTlIO6, from Alexandria via LeMat-Bulk.

Properties
* space-group type: P-31c
* formation energy from raw total energies: -1.513 eV per atom

a b c (Å): 5.791 5.791 11.533
angles (deg): 90.00 90.00 120.00
Each line ends with the local moment (μB).
Positions (direct):
O: 0.629 0.025 0.346  0.04
I: 0.333 0.667 0.750  0.06
I: 0.667 0.333 0.250  0.06
O: 0.025 0.629 0.846  0.04
O: 0.371 0.975 0.654  0.04
O: 0.629 0.604 0.154  0.04
O: 0.604 0.975 0.846  0.04
O: 0.396 0.025 0.154  0.04
O: 0.396 0.371 0.346  0.04
O: 0.371 0.396 0.846  0.04
Tl: 0.000 0.000 0.000  0.01
Tl: 0.000 0.000 0.500  0.01
O: 0.025 0.396 0.654  0.04
O: 0.604 0.629 0.654  0.04
O: 0.975 0.371 0.154  0.04
Pa: 0.333 0.667 0.250  0.09
O: 0.975 0.604 0.346  0.04
Pa: 0.667 0.333 0.750  0.09



The following is a PBE-GGA calculation of an optimized crystal structure of AlCrTe2, from Alexandria via LeMat-Bulk.

Properties
* space-group type: R-3m
* formation energy from raw total energies: -0.075 eV per atom

a b c (Å): 4.054 4.054 7.192
angles (deg): 73.63 73.63 60.08
Each line ends with the local moment (μB).
Positions (direct):
Te: 0.505 0.505 0.486  -0.08
Al: 0.750 0.750 0.750  -0.01
Cr: 0.250 0.250 0.250  3.47
Te: 0.995 0.995 0.014  -0.08



The following is a PBE-GGA calculation of an optimized crystal structure of ReSi2Se, from Alexandria via LeMat-Bulk.

Properties
* space-group type: Cm
* formation energy from raw total energies: 0.177 eV per atom

a b c (Å): 4.721 4.721 5.468
angles (deg): 73.32 73.32 37.54
Positions (direct):
Re: 0.531 0.531 0.625
Si: 0.986 0.986 0.004
Se: 0.169 0.169 0.257
Si: 0.814 0.814 0.615



The following is a PBE-GGA calculation of an optimized crystal structure of Ag2SbSe, from Alexandria via LeMat-Bulk.

Properties
* space-group type: R-3m
* formation energy from raw total energies: 0.073 eV per atom

a b c (Å): 6.838 6.838 6.838
angles (deg): 34.31 34.31 34.31
Positions (direct):
Sb: 0.250 0.250 0.250
Ag: 0.494 0.494 0.494
Se: 0.750 0.750 0.750
Ag: 0.006 0.006 0.006



The following is a PBE-GGA calculation of an optimized crystal structure of La3TbDy6, from Alexandria via LeMat-Bulk.

Properties
* space-group type: R-3
* ΔH_f (0 K): 0.28 eV/atom

a b c (Å): 9.956 9.956 6.940
angles (deg): 44.17 44.17 60.00
Positions (direct):
Dy: 0.426 0.776 0.702
Dy: 0.924 0.604 0.198
Dy: 0.096 0.426 0.702
La: 0.350 0.350 0.950
Dy: 0.274 0.924 0.198
Dy: 0.776 0.096 0.702
Tb: 0.850 0.850 0.450
La: 0.101 0.101 0.696
La: 0.598 0.598 0.205
Dy: 0.604 0.274 0.198



The following is a PBE-GGA calculation of an optimized crystal structure of Li4Ag7Rh, from Alexandria via LeMat-Bulk.

Properties
* space-group type: P-1
* ΔH_f (0 K): -0.11 eV/atom

a b c (Å): 5.677 7.593 7.454
angles (deg): 69.37 78.52 41.27
Positions (direct):
Ag: 0.500 0.000 0.000
Ag: 0.249 0.837 0.660
Li: 0.247 0.176 0.326
Li: 0.526 0.316 0.682
Ag: 0.997 0.669 0.341
Li: 0.474 0.684 0.318
Ag: 0.751 0.163 0.340
Ag: 0.003 0.331 0.659
Rh: 0.000 0.000 0.000
Li: 0.753 0.824 0.674
Ag: 0.748 0.499 0.001
Ag: 0.252 0.501 0.999



The following is a PBE-GGA calculation of an optimized crystal structure of NaAs2RuBr, from Alexandria via LeMat-Bulk.

Properties
* space-group type: P4/mmm
* formation energy from raw total energies: -0.057 eV per atom

a b c (Å): 4.688 4.688 5.946
angles (deg): 90.00 90.00 90.00
Each line ends with the local moment (μB).
Positions (direct):
As: 0.000 0.500 0.000  0.01
As: 0.500 0.000 0.000  0.01
Ru: 0.000 0.000 0.000  0.13
Na: 0.500 0.500 0.500  0.00
Br: 0.000 0.000 0.500  0.00



The following is a PBE-GGA calculation of an optimized crystal structure of AsPIrC, from Alexandria via LeMat-Bulk.

Properties
* space-group type: P1
* ΔH_f (0 K): 0.39 eV/atom

a b c (Å): 3.637 4.317 4.458
angles (deg): 97.67 114.11 89.93
Positions (direct):
C: 0.413 0.244 0.236
As: 0.513 0.914 0.514
P: 0.992 0.339 0.892
Ir: 0.953 0.511 0.401



The following is a PBE-GGA calculation of an optimized crystal structure of ThCdGa2Pt5, from Alexandria via LeMat-Bulk.

Properties
* space-group type: P4/mmm
* ΔH_f (0 K): -0.69 eV/atom

a b c (Å): 4.204 4.204 9.527
angles (deg): 90.00 90.00 90.00
Positions (direct):
Th: 0.000 0.000 0.500
Pt: 0.000 0.500 0.275
Pt: 0.500 0.000 0.725
Pt: 0.500 0.500 0.500
Ga: 0.500 0.500 0.127
Ga: 0.500 0.500 0.873
Cd: 0.000 0.000 0.000
Pt: 0.500 0.000 0.275
Pt: 0.000 0.500 0.725



The following is a PBE-GGA calculation of an optimized crystal structure of Dy10YEr4, from Alexandria via LeMat-Bulk.

Properties
* space-group type: I4/m
* ΔH_f (0 K): 0.73 eV/atom

a b c (Å): 7.649 9.370 9.370
angles (deg): 80.41 65.91 65.91
Positions (direct):
Dy: 0.849 0.698 0.101
Er: 0.600 0.200 0.600
Dy: 0.050 0.101 0.302
Er: 0.800 0.600 0.800
Dy: 0.649 0.302 0.899
Er: 0.400 0.800 0.400
Er: 0.200 0.400 0.200
Dy: 0.351 0.698 0.101
Dy: 0.453 0.899 0.698
Dy: 0.547 0.101 0.302
Dy: 0.250 0.500 0.500
Dy: 0.750 0.500 0.500
Y: 0.000 0.000 0.000
Dy: 0.151 0.302 0.899
Dy: 0.950 0.899 0.698



The following is a PBE-GGA calculation of an optimized crystal structure of YB4Ir6, from Alexandria via LeMat-Bulk.

Properties
* space-group type: I-42m
* ΔH_f (0 K): -0.22 eV/atom

a b c (Å): 6.133 6.133 6.133
angles (deg): 78.84 126.64 126.64
Positions (direct):
Ir: 0.000 0.876 0.528
B: 0.374 0.794 0.794
Ir: 0.349 0.472 0.472
Ir: 0.500 0.500 0.000
B: 0.626 0.420 0.420
Ir: 0.651 0.124 0.124
B: 0.000 0.580 0.206
Ir: 0.000 0.528 0.876
B: 0.000 0.206 0.580
Ir: 0.500 0.000 0.500
Y: 0.000 0.000 0.000



The following is a PBE-GGA calculation of an optimized crystal structure of LiPrMg3, from Alexandria via LeMat-Bulk.

Properties
* space-group type: I-4m2
* ΔH_f (0 K): 0.29 eV/atom

a b c (Å): 5.650 5.650 10.033
angles (deg): 106.36 106.36 90.00
Positions (direct):
Pr: 0.559 0.059 0.117
Mg: 0.704 0.704 0.409
Mg: 0.126 0.873 0.252
Pr: 0.941 0.441 0.883
Mg: 0.620 0.874 0.748
Mg: 0.126 0.380 0.252
Mg: 0.127 0.874 0.748
Li: 0.250 0.750 0.500
Mg: 0.296 0.296 0.591
Li: 0.000 0.000 0.000



Copy entry 11 word for word.
The following is a PBE-GGA calculation of an optimized crystal structure of YB4Ir6, from Alexandria via LeMat-Bulk.

Properties
* space-group type: I-42m
* ΔH_f (0 K): -0.22 eV/atom

a b c (Å): 6.133 6.133 6.133
angles (deg): 78.84 126.64 126.64
Positions (direct):
Ir: 0.000 0.876 0.528
B: 0.374 0.794 0.794
Ir: 0.349 0.472 0.472
Ir: 0.500 0.500 0.000
B: 0.626 0.420 0.420
Ir: 0.651 0.124 0.124
B: 0.000 0.580 0.206
Ir: 0.000 0.528 0.876
B: 0.000 0.206 0.580
Ir: 0.500 0.000 0.500
Y: 0.000 0.000 0.000